1.
# CoHg2Br, relaxed, DFT GGA-PBE
data_CoHg2Br
_chemical_formula_sum 'Co4 Hg8 Br4'
_cell_length_a 7.133
_cell_length_b 7.133
_cell_length_c 7.133
_cell_angle_alpha 90.00
_cell_angle_beta 90.00
_cell_angle_gamma 90.00
_symmetry_space_group_name_H-M 'F -4 3 m'
_symmetry_Int_Tables_number 216
_symmetry_space_group_name_Hall 'F -4 2 3'
loop_
_atom_site_label
_atom_site_type_symbol
_atom_site_fract_x
_atom_site_fract_y
_atom_site_fract_z
Co1 Co 0.000 0.000 0.000
Hg1 Hg 0.000 0.000 0.500
Hg2 Hg 0.250 0.250 0.750
Br1 Br 0.250 0.250 0.250
# E_form (uncorrected) in eV/atom: 0.621
# E above lowest polymorph in eV per atom: 0.528
# Size of the total moment in μB/f.u.: 1.9
# V in A^3/atom: 22.7
# Total energy in eV per atom: -1.72
# Density of states at the Fermi level in states/eV per cell: 27.8

2.
# In2TeAsBr, relaxed, DFT GGA-PBE
data_In2TeAsBr
_chemical_formula_sum 'In2 Te1 As1 Br1'
_cell_length_a 6.063
_cell_length_b 6.063
_cell_length_c 5.555
_cell_angle_alpha 90.00
_cell_angle_beta 90.00
_cell_angle_gamma 90.00
_symmetry_space_group_name_H-M 'P 4/m m m'
_symmetry_Int_Tables_number 123
_symmetry_space_group_name_Hall '-P 4 2'
loop_
_atom_site_label
_atom_site_type_symbol
_atom_site_fract_x
_atom_site_fract_y
_atom_site_fract_z
In1 In 0.000 0.500 0.000
Te1 Te 0.000 0.000 0.000
As1 As 0.500 0.500 0.500
Br1 Br 0.000 0.000 0.500
# E_form (uncorrected) in eV/atom: 0.524
# Size of the total moment in μB/f.u.: 1.8
# V in A^3/atom: 40.8
# Total energy in eV per atom: -2.46
# Density of states at the Fermi level in states/eV per cell: 3.3

3.
# NbGaReTc, relaxed, DFT GGA-PBE
data_NbGaReTc
_chemical_formula_sum 'Nb4 Ga4 Re4 Tc4'
_cell_length_a 6.289
_cell_length_b 6.289
_cell_length_c 6.289
_cell_angle_alpha 90.00
_cell_angle_beta 90.00
_cell_angle_gamma 90.00
_symmetry_space_group_name_H-M 'F -4 3 m'
_symmetry_Int_Tables_number 216
_symmetry_space_group_name_Hall 'F -4 2 3'
loop_
_atom_site_label
_atom_site_type_symbol
_atom_site_fract_x
_atom_site_fract_y
_atom_site_fract_z
Nb1 Nb 0.000 0.000 0.000
Ga1 Ga 0.000 0.000 0.500
Re1 Re 0.250 0.250 0.750
Tc1 Tc 0.250 0.250 0.250
# Formation energy from the elements in meV/atom: -102.7
# Size of the total moment in μB/f.u.: 0.0
# V in A^3/atom: 15.5
# Total energy in eV per atom: -9.08
# Density of states at the Fermi level in states/eV per cell: 14.8

4.
# LiTbAsRh, relaxed, DFT GGA-PBE
data_LiTbAsRh
_chemical_formula_sum 'Li4 Tb4 As4 Rh4'
_cell_length_a 6.449
_cell_length_b 6.449
_cell_length_c 6.449
_cell_angle_alpha 90.00
_cell_angle_beta 90.00
_cell_angle_gamma 90.00
_symmetry_space_group_name_H-M 'F -4 3 m'
_symmetry_Int_Tables_number 216
_symmetry_space_group_name_Hall 'F -4 2 3'
loop_
_atom_site_label
_atom_site_type_symbol
_atom_site_fract_x
_atom_site_fract_y
_atom_site_fract_z
Li1 Li 0.000 0.000 0.000
Tb1 Tb 0.250 0.250 0.750
As1 As 0.250 0.250 0.250
Rh1 Rh 0.000 0.000 0.500
# Formation energy from the elements in meV/atom: -789.2
# Size of the total moment in μB/f.u.: 0.0
# V in A^3/atom: 16.8
# Total energy in eV per atom: -5.43
# Density of states at the Fermi level in states/eV per cell: 1.8

5.
# LaPmPr4Se8, relaxed, DFT GGA-PBE
data_LaPmPr4Se8
_chemical_formula_sum 'La3 Pm3 Pr12 Se24'
_cell_length_a 8.7808
_cell_length_b 8.7808
_cell_length_c 21.4253
_cell_angle_alpha 90.00
_cell_angle_beta 90.00
_cell_angle_gamma 120.00
_symmetry_space_group_name_H-M 'R 3 m'
_symmetry_Int_Tables_number 160
_symmetry_space_group_name_Hall 'R 3 -2"'
loop_
_atom_site_label
_atom_site_type_symbol
_atom_site_fract_x
_atom_site_fract_y
_atom_site_fract_z
La1 La 0.0000 0.0000 0.0000
Pm1 Pm 0.0000 0.0000 0.6242
Pr1 Pr 0.0000 0.0000 0.2488
Pr2 Pr 0.0014 0.5007 0.1247
Se1 Se 0.0000 0.0000 0.3813
Se2 Se 0.0000 0.0000 0.8661
Se3 Se 0.0256 0.5128 0.3763
Se4 Se 0.1780 0.3561 0.2068
# E_form (uncorrected) in eV/atom: -1.750
# Size of the total moment in μB/f.u.: 0.0
# V in A^3/atom: 34.1
# Total energy in eV per atom: -5.80
# Density of states at the Fermi level in states/eV per cell: 27.4

6.
# Tb12Al3H5, relaxed, DFT GGA-PBE
data_Tb12Al3H5
_chemical_formula_sum 'Tb96 Al24 H40'
_cell_length_a 15.449
_cell_length_b 15.449
_cell_length_c 15.449
_cell_angle_alpha 90.00
_cell_angle_beta 90.00
_cell_angle_gamma 90.00
_symmetry_space_group_name_H-M 'I a -3 d'
_symmetry_Int_Tables_number 230
_symmetry_space_group_name_Hall '-I 4bd 2c 3'
loop_
_atom_site_label
_atom_site_type_symbol
_atom_site_fract_x
_atom_site_fract_y
_atom_site_fract_z
Tb1 Tb 0.039 0.057 0.652
Al1 Al 0.000 0.250 0.125
H1 H 0.000 0.000 0.000
H2 H 0.000 0.250 0.375
# Size of the total moment in μB/f.u.: 0.0
# V in A^3/atom: 23.0
# Total energy in eV per atom: -4.40
# Density of states at the Fermi level in states/eV per cell: 150.9